A geometry-optimized Ca2GdEr structure, computed with PBE.

a = 5.446 Å, b = 5.141 Å, c = 5.141 Å
α = 90.00°, β = 90.00°, γ = 90.00°
Site moments in Bohr magnetons follow the coordinates.
Atoms (fractional coordinates):
Gd  0.500  0.500  0.500  -7.41
Ca  0.000  0.500  0.000  -0.06
Ca  0.000  0.000  0.500  -0.06
Er  0.500  0.000  0.000  -0.37

Properties
- total DFT energy (no corrections) (eV/atom) = -5.50
- size of the total moment (μB/f.u.) = 8.8
- ΔE to the lowest computed polymorph (eV/atom) = 0.0009
- calculated formation energy (eV/atom) = 0.16